First-principles (GGA-PBE) data for an optimized crystal structure of NaPuBr3, as listed in Alexandria via LeMat-Bulk.

Unit cell a=7.640 b=3.801 c=7.640 alpha=90.00 beta=119.92 gamma=90.00
Atoms (fractional coordinates):
Na 0.000 0.000 0.000
Pu 0.666 0.000 0.334
Br 0.336 0.500 0.269
Br 0.731 0.500 0.067
Br 0.933 0.500 0.664

Calculated values
Raw total energy, eV per cell: -27.73
SG: No. 6
Crystal system: monoclinic
Formation energy without anion corrections, kJ/mol of atoms: -136

First-principles (GGA-PBE) data for an optimized crystal structure of Sb6PbS8, as listed in Alexandria via LeMat-Bulk.

Unit cell a=7.702 b=7.702 c=7.702 alpha=76.56 beta=76.56 gamma=76.56
Atoms (fractional coordinates):
Sb 0.111 0.856 0.295
Sb 0.144 0.705 0.889
Sb 0.295 0.111 0.856
Sb 0.705 0.889 0.144
Sb 0.856 0.295 0.111
Sb 0.889 0.144 0.705
Pb 0.500 0.500 0.500
S 0.143 0.410 0.706
S 0.183 0.183 0.183
S 0.294 0.857 0.590
S 0.410 0.706 0.143
S 0.590 0.294 0.857
S 0.706 0.143 0.410
S 0.817 0.817 0.817
S 0.857 0.590 0.294

Calculated values
Raw total energy, eV per cell: -62.45
SG: No. 148
Crystal system: trigonal
Formation energy without anion corrections, kJ/mol of atoms: -6